[1]
## HgTeCl2F (PBE)

Data for a relaxed structure of HgTeCl2F.

Computed properties:
total energy = -0.1274 Ry/atom
ΔE_f (raw) = 0.07 eV/atom
calculated density = 4.51 g/cm³
Fermi-level density of states = 4.17 states/eV per cell
volume = 30.78 A^3/atom

Lattice parameters (Å, degrees): 5.0456 5.0456 6.0460 90.00 90.00 90.00
Last column: nearest neighbours and their distance in Å.
Fractional positions:
Hg 0.0000 0.0000 0.0000  4 Cl 2.52
Te 0.0000 0.0000 0.5000  2 Hg 3.02
Cl 0.0000 0.5000 0.0000  2 Hg 2.52
Cl 0.5000 0.0000 0.0000  2 Hg 2.52
F 0.5000 0.5000 0.5000  4 Te 3.57, 8 Cl 3.94



[2]
## Al2CdBr (PBE)

Data for a relaxed structure of Al2CdBr.

Computed properties:
energy above the most stable polymorph in this dataset = 53 meV/atom
total energy = -0.1777 Ry/atom
ΔE_f (raw) = 0.10 eV/atom
calculated density = 4.34 g/cm³
Fermi-level density of states = 1.37 states/eV per cell
volume = 23.56 A^3/atom

Lattice parameters (Å, degrees): 6.5143 6.5143 5.0735 108.30 108.30 27.56
Last column: nearest neighbours and their distance in Å.
Fractional positions:
Al 0.0000 0.0000 0.0000  4 Al 2.90-3.10, 1 Br 3.08, 2 Cd 3.12
Al 0.6883 0.6883 0.3379  2 Br 2.62, 2 Al 2.90
Cd 0.4038 0.4038 0.4406  6 Al 3.03-3.26, 2 Cd 3.10
Br 0.1935 0.1935 0.7570  2 Al 2.62



[3]
## AcMgSb2O8 (PBE)

Data for a relaxed structure of AcMgSb2O8.

Computed properties:
total energy = -0.4638 Ry/atom
ΔE_f (raw) = -1.84 eV/atom
calculated density = 6.06 g/cm³
Fermi-level density of states = 6.57 states/eV per cell
volume = 14.22 A^3/atom

Lattice parameters (Å, degrees): 5.1162 6.5427 5.1189 90.00 95.06 90.00
Last column: nearest neighbours and their distance in Å.
Fractional positions:
Ac 0.0000 0.0000 0.0000  6 O 2.38-2.52
Mg 0.0000 0.5000 0.0000  4 O 2.08
Sb 0.5000 0.2586 0.5000  6 O 1.95-2.10
Sb 0.5000 0.7414 0.5000  6 O 1.95-2.10
O 0.2169 0.2810 0.2189  1 Sb 1.95, 1 Mg 2.08
O 0.2169 0.7190 0.2189  1 Sb 1.95, 1 Mg 2.08
O 0.3188 0.5000 0.6825  2 Sb 2.09
O 0.3354 0.0000 0.6667  2 Sb 2.10
O 0.6646 0.0000 0.3333  2 Sb 2.10
O 0.6812 0.5000 0.3175  2 Sb 2.09
O 0.7831 0.2810 0.7811  1 Sb 1.95, 1 Mg 2.08
O 0.7831 0.7190 0.7811  1 Sb 1.95, 1 Mg 2.08



[4]
## Hg2SbBrCl (PBE)

Data for a relaxed structure of Hg2SbBrCl.

Computed properties:
energy above the most stable polymorph in this dataset = 80 meV/atom
total energy = -0.1317 Ry/atom
ΔE_f (raw) = -0.14 eV/atom
calculated density = 6.04 g/cm³
Fermi-level density of states = 1.36 states/eV per cell
volume = 35.09 A^3/atom

Lattice parameters (Å, degrees): 5.7014 5.7014 5.3978 90.00 90.00 90.00
Last column: nearest neighbours and their distance in Å.
Fractional positions:
Hg 0.0000 0.5000 0.0000  2 Sb 2.85
Hg 0.5000 0.0000 0.0000  2 Sb 2.85
Sb 0.0000 0.0000 0.0000  2 Br 2.70, 4 Hg 2.85
Br 0.0000 0.0000 0.5000  2 Sb 2.70
Cl 0.5000 0.5000 0.5000  8 Hg 3.93, 4 Br 4.03



Please write out number 3 again, unchanged.
## AcMgSb2O8 (PBE)

Data for a relaxed structure of AcMgSb2O8.

Computed properties:
total energy = -0.4638 Ry/atom
ΔE_f (raw) = -1.84 eV/atom
calculated density = 6.06 g/cm³
Fermi-level density of states = 6.57 states/eV per cell
volume = 14.22 A^3/atom

Lattice parameters (Å, degrees): 5.1162 6.5427 5.1189 90.00 95.06 90.00
Last column: nearest neighbours and their distance in Å.
Fractional positions:
Ac 0.0000 0.0000 0.0000  6 O 2.38-2.52
Mg 0.0000 0.5000 0.0000  4 O 2.08
Sb 0.5000 0.2586 0.5000  6 O 1.95-2.10
Sb 0.5000 0.7414 0.5000  6 O 1.95-2.10
O 0.2169 0.2810 0.2189  1 Sb 1.95, 1 Mg 2.08
O 0.2169 0.7190 0.2189  1 Sb 1.95, 1 Mg 2.08
O 0.3188 0.5000 0.6825  2 Sb 2.09
O 0.3354 0.0000 0.6667  2 Sb 2.10
O 0.6646 0.0000 0.3333  2 Sb 2.10
O 0.6812 0.5000 0.3175  2 Sb 2.09
O 0.7831 0.2810 0.7811  1 Sb 1.95, 1 Mg 2.08
O 0.7831 0.7190 0.7811  1 Sb 1.95, 1 Mg 2.08



- What is the formula in the first record?
  HgTeCl2F



- Which formula does entry 3 have?
  AcMgSb2O8